*A*
RbCaAu2: relaxed, PBE-GGA.

abc: 7.7235 7.7235 7.7235
angles: 90.00 90.00 90.00
Space group Fm-3m (No. 225)
Asymmetric unit:
Rb 0.0000 0.0000 0.0000 (multiplicity 4)
Ca 0.0000 0.0000 0.5000 (multiplicity 4)
Au 0.2500 0.2500 0.2500 (multiplicity 8)

## Properties
**Magnetization**: 0.0 μB/f.u.

*B*
RbCaAu2: relaxed, PBE-GGA.

abc: 3.8381 3.8381 8.1394
angles: 90.00 90.00 90.00
Space group P4/mmm (No. 123)
Asymmetric unit:
Rb 0.0000 0.0000 0.0000 (multiplicity 1)
Ca 0.0000 0.0000 0.5000 (multiplicity 1)
Au 0.5000 0.5000 0.3141 (multiplicity 2)

## Properties
**Magnetization**: 0.0 μB/f.u.

*C*
RbCaAu2: relaxed, PBE-GGA.

abc: 4.3483 4.3483 24.9716
angles: 90.00 90.00 120.00
Space group R3m (No. 160, hexagonal axes)
Asymmetric unit:
Rb 0.0000 0.0000 0.0000 (multiplicity 3)
Ca 0.0000 0.0000 0.1699 (multiplicity 3)
Au 0.0000 0.0000 0.5689 (multiplicity 3)
Au 0.0000 0.0000 0.7694 (multiplicity 3)

## Properties
**Magnetization**: 0.0 μB/f.u.

*D*
RbCaAu2: relaxed, PBE-GGA.

abc: 4.4444 4.4444 24.0406
angles: 90.00 90.00 120.00
Space group R-3m (No. 166, hexagonal axes)
Asymmetric unit:
Rb 0.0000 0.0000 0.0000 (multiplicity 3)
Ca 0.0000 0.0000 0.5000 (multiplicity 3)
Au 0.0000 0.0000 0.2318 (multiplicity 6)

## Properties
**Magnetization**: 0.0 μB/f.u.

Most stable structure: *B*

*A*
CaReAu2: relaxed, PBE-GGA.

abc: 4.9272 4.9272 16.9149
angles: 90.00 90.00 90.00
Space group I-42d (No. 122)
Asymmetric unit:
Ca 0.0000 0.0000 0.0000 (multiplicity 4)
Re 0.0000 0.0000 0.5000 (multiplicity 4)
Au 0.1619 0.2500 0.6250 (multiplicity 8)

## Properties
**Magnetization**: 1.1 μB/f.u.

*B*
CaReAu2: relaxed, PBE-GGA.

abc: 3.0251 4.9396 10.2578
angles: 90.00 90.00 90.00
Space group Imm2 (No. 44)
Asymmetric unit:
Ca 0.0000 0.0000 0.0000 (multiplicity 2)
Re 0.0000 0.5000 0.7688 (multiplicity 2)
Au 0.0000 0.0000 0.4933 (multiplicity 2)
Au 0.0000 0.5000 0.2340 (multiplicity 2)

## Properties
**Magnetization**: 0.5 μB/f.u.

*C*
CaReAu2: relaxed, PBE-GGA.

abc: 9.4219 2.7857 5.9802
angles: 90.00 97.13 90.00
Space group C2/m (No. 12)
Asymmetric unit:
Ca 0.0000 0.0000 0.0000 (multiplicity 2)
Re 0.0000 0.5000 0.5000 (multiplicity 2)
Au 0.2417 0.0000 0.7132 (multiplicity 4)

## Properties
**Magnetization**: 0.0 μB/f.u.

Most stable structure: *B*

*A*
CaReAu2: relaxed, PBE-GGA.

abc: 3.5115 3.5115 6.3825
angles: 90.00 90.00 90.00
Space group P4mm (No. 99)
Asymmetric unit:
Ca 0.0000 0.0000 0.0000 (multiplicity 1)
Re 0.5000 0.5000 0.3012 (multiplicity 1)
Au 0.0000 0.0000 0.4844 (multiplicity 1)
Au 0.5000 0.5000 0.7423 (multiplicity 1)

## Properties
**Magnetization**: 0.9 μB/f.u.

*B*
CaReAu2: relaxed, PBE-GGA.

abc: 2.8707 2.8707 9.0717
angles: 90.00 90.00 90.00
Space group P4mm (No. 99)
Asymmetric unit:
Ca 0.0000 0.0000 0.0000 (multiplicity 1)
Re 0.5000 0.5000 0.2651 (multiplicity 1)
Au 0.0000 0.0000 0.4855 (multiplicity 1)
Au 0.5000 0.5000 0.7390 (multiplicity 1)

## Properties
**Magnetization**: 0.0 μB/f.u.

*C*
CaReAu2: relaxed, PBE-GGA.

abc: 2.8382 4.1392 6.4940
angles: 90.00 90.00 90.00
Space group Pmmm (No. 47)
Asymmetric unit:
Ca 0.0000 0.0000 0.0000 (multiplicity 1)
Re 0.0000 0.0000 0.5000 (multiplicity 1)
Au 0.5000 0.5000 0.2839 (multiplicity 2)

## Properties
**Magnetization**: 0.7 μB/f.u.

Most stable structure: *C*

*A*
Ca2ReAu: relaxed, PBE-GGA.

abc: 6.6036 2.8908 9.2716
angles: 90.00 95.29 90.00
Space group C2/m (No. 12)
Asymmetric unit:
Ca 0.2486 0.0000 0.2416 (multiplicity 4)
Re 0.0000 0.5000 0.0000 (multiplicity 2)
Au 0.0000 0.0000 0.5000 (multiplicity 2)

## Properties
**Magnetization**: 0.0 μB/f.u.

*B*
Ca2ReAu: relaxed, PBE-GGA.

abc: 7.1562 7.1562 7.1562
angles: 90.00 90.00 90.00
Space group Fm-3m (No. 225)
Asymmetric unit:
Ca 0.2500 0.2500 0.2500 (multiplicity 8)
Re 0.0000 0.0000 0.0000 (multiplicity 4)
Au 0.0000 0.0000 0.5000 (multiplicity 4)

## Properties
**Magnetization**: 2.0 μB/f.u.

*C*
Ca2ReAu: relaxed, PBE-GGA.

abc: 3.0316 3.3189 8.6216
angles: 90.00 90.00 90.00
Space group Pmmm (No. 47)
Asymmetric unit:
Ca 0.0000 0.0000 0.2468 (multiplicity 2)
Re 0.5000 0.5000 0.0000 (multiplicity 1)
Au 0.5000 0.5000 0.5000 (multiplicity 1)

## Properties
**Magnetization**: 0.0 μB/f.u.

*D*
Ca2ReAu: relaxed, PBE-GGA.

abc: 2.9655 5.3804 5.4730
angles: 90.00 90.00 90.00
Space group Pmm2 (No. 25)
Asymmetric unit:
Ca 0.0000 0.0000 0.0000 (multiplicity 1)
Ca 0.0000 0.5000 0.4250 (multiplicity 1)
Re 0.5000 0.5000 0.9203 (multiplicity 1)
Au 0.5000 0.0000 0.5134 (multiplicity 1)

## Properties
**Magnetization**: 0.0 μB/f.u.

Most stable structure: *C*

*A*
Ca3ReAu: relaxed, PBE-GGA.

abc: 5.4149 5.4149 5.4149
angles: 90.00 90.00 90.00
Space group Pm-3m (No. 221)
Asymmetric unit:
Ca 0.0000 0.0000 0.5000 (multiplicity 3)
Re 0.0000 0.0000 0.0000 (multiplicity 1)
Au 0.5000 0.5000 0.5000 (multiplicity 1)

## Properties
**Magnetization**: 0.0 μB/f.u.

*B*
Ca3ReAu: relaxed, PBE-GGA.

abc: 5.5220 5.5220 5.5220
angles: 90.00 90.00 90.00
Space group Pm-3m (No. 221)
Asymmetric unit:
Ca 0.0000 0.0000 0.5000 (multiplicity 3)
Re 0.5000 0.5000 0.5000 (multiplicity 1)
Au 0.0000 0.0000 0.0000 (multiplicity 1)

## Properties
**Magnetization**: 3.3 μB/f.u.

Most stable structure: *A*